! PmBe6Au6 (PBE-GGA, optimized geometry); values from VASP
&SYSTEM
  ibrav = 0, nat = 13, ntyp = 3
/
ATOMIC_SPECIES
Pm 145.00 Pm.upf
Be 9.01 Be.upf
Au 196.97 Au.upf
ATOMIC_POSITIONS angstrom
Pm 0.0000 0.0000 0.0000
Be 1.1008 3.0964 0.5448
Be 3.3745 3.0964 1.4536
Be -0.0129 0.0231 3.3310
Be 2.2609 0.0231 4.2398
Be 3.9355 4.7033 3.3487
Be 2.7877 1.5358 6.2204
Au 2.9920 4.0918 5.7092
Au 3.7312 2.1473 3.8598
Au 0.7205 2.1056 4.7949
Au 1.4553 4.1335 2.9565
Au 1.8394 1.1426 1.9955
Au 4.8838 5.0965 7.5735
CELL_PARAMETERS angstrom
4.5475 0.0000 1.8176
2.2015 6.1928 1.0895
-0.0258 0.0463 6.6619
! SG   Immm (71)
! Formation enthalpy at 0 K   -0.249 eV/atom
! N(E_F)   0.279 states/eV/atom
! E_tot   -3.847 eV/atom